No. 1
DFT (PBE) results for LaCr4Ru after structural relaxation.

Structure (POSCAR):
```
LaCr4Ru
1.0
0.077 -3.320 3.776
-3.228 0.470 3.827
-3.765 -3.290 0.532
Cr La Ru
4 1 1
Direct
0.875 0.375 0.375
0.375 0.375 0.375
0.375 0.875 0.375
0.375 0.375 0.875
0.750 0.750 0.750
0.000 0.000 0.000
```

Values from the calculation:
D(E_F), states/eV/cell: 8.21
E_tot, eV/cell: -49.522
Space group: F-43m

No. 2
DFT (PBE) results for AcDyMgIr after structural relaxation.

Structure (POSCAR):
```
AcDyMgIr
1.0
5.260 0.000 0.000
2.630 4.556 0.000
2.630 1.519 4.295
Ir Ac Dy Mg
1 1 1 1
Direct
0.000 0.000 0.000
0.250 0.250 0.250
0.750 0.750 0.750
0.500 0.500 0.500
```

Values from the calculation:
D(E_F), states/eV/cell: 2.07
E_tot, eV/cell: -20.201
Space group: F-43m

No. 3
DFT (PBE) results for LaZr4Te after structural relaxation.

Structure (POSCAR):
```
LaZr4Te
1.0
0.000 4.277 4.277
4.277 0.000 4.277
4.277 4.277 0.000
Zr La Te
4 1 1
Direct
0.865 0.378 0.378
0.378 0.378 0.865
0.378 0.378 0.378
0.378 0.865 0.378
0.750 0.750 0.750
0.000 0.000 0.000
```

Values from the calculation:
D(E_F), states/eV/cell: 11.31
E_tot, eV/cell: -41.175
Raw formation energy, eV per atom: 0.18
Space group: F-43m

No. 4
DFT (PBE) results for SiNiRh2 after structural relaxation.

Structure (POSCAR):
```
SiNiRh2
1.0
4.203 0.000 0.000
2.102 3.640 0.000
2.102 1.213 3.432
Ni Rh Si
1 2 1
Direct
0.500 0.500 0.500
0.750 0.750 0.750
0.000 0.000 0.000
0.250 0.250 0.250
```

Values from the calculation:
D(E_F), states/eV/cell: 5.85
E_tot, eV/cell: -26.598
Raw formation energy, eV per atom: -0.17
Space group: F-43m

No. 5
DFT (PBE) results for Ac2Nd2Pb after structural relaxation.

Structure (POSCAR):
```
Ac2Nd2Pb
1.0
-2.088 3.950 0.787
-2.869 -0.836 -3.413
-3.662 -6.052 7.576
Ac Nd Pb
2 2 1
Direct
0.413 0.413 0.826
0.587 0.587 0.174
0.750 0.250 0.500
0.250 0.750 0.500
0.000 0.000 0.000
```

Values from the calculation:
D(E_F), states/eV/cell: 6.23
E_tot, eV/cell: -20.718
Space group: I4/mmm

No. 6
DFT (PBE) results for AsIrS after structural relaxation.

Structure (POSCAR):
```
AsIrS
1.0
-0.321 0.478 3.790
-2.882 -1.565 -1.986
5.253 -12.190 1.981
As S Ir
3 3 3
Direct
0.000 0.000 0.933
0.333 0.667 0.599
0.667 0.333 0.266
0.000 0.000 0.760
0.667 0.333 0.093
0.333 0.667 0.426
0.667 0.333 0.677
0.333 0.667 0.010
0.000 0.000 0.343
```

Values from the calculation:
E_tot, eV/cell: -55.560
Raw formation energy, eV per atom: -0.29
Space group: R3m

No. 7
DFT (PBE) results for YCu2ReGe after structural relaxation.

Structure (POSCAR):
```
YCu2ReGe
1.0
4.824 0.000 0.000
0.000 5.267 0.000
0.000 0.000 4.824
Cu Ge Y Re
2 1 1 1
Direct
0.000 0.000 0.500
0.500 0.000 0.000
0.000 0.500 0.000
0.000 0.000 0.000
0.500 0.500 0.500
```

Values from the calculation:
D(E_F), states/eV/cell: 3.13
E_tot, eV/cell: -21.906
Space group: P4/mmm

No. 8
DFT (PBE) results for Sr3NpN3 after structural relaxation.

Structure (POSCAR):
```
Sr3NpN3
1.0
5.409 0.000 0.000
0.000 10.341 0.000
0.000 0.000 10.491
N Sr Np
12 12 4
Direct
0.000 0.117 0.341
0.500 0.588 0.614
0.500 0.383 0.841
0.500 0.412 0.386
0.500 0.617 0.159
0.000 0.883 0.659
0.000 0.912 0.114
0.500 0.186 0.618
0.000 0.314 0.118
0.000 0.686 0.882
0.000 0.088 0.886
0.500 0.814 0.382
0.500 0.626 0.880
0.500 0.869 0.137
0.000 0.639 0.122
0.500 0.131 0.863
0.000 0.361 0.878
0.000 0.631 0.637
0.500 0.861 0.622
0.500 0.374 0.120
0.000 0.369 0.363
0.000 0.126 0.620
0.000 0.874 0.380
0.500 0.139 0.378
0.000 0.114 0.129
0.500 0.386 0.629
0.000 0.886 0.871
0.500 0.614 0.371
```

Values from the calculation:
D(E_F), states/eV/cell: 33.41
E_tot, eV/cell: -192.752
Raw formation energy, eV per atom: -0.75
Space group: Pnnm

No. 9
DFT (PBE) results for Cs2BaHfS4 after structural relaxation.

Structure (POSCAR):
```
Cs2BaHfS4
1.0
-7.614 2.820 3.770
-3.253 -8.321 -0.562
8.507 1.846 3.817
S Hf Ba Cs
8 2 2 4
Direct
0.754 0.746 0.933
0.246 0.254 0.433
0.715 0.315 0.515
0.246 0.254 0.067
0.754 0.746 0.567
0.285 0.685 0.485
0.185 0.785 0.985
0.815 0.215 0.015
0.000 0.000 0.000
0.500 0.500 0.500
0.000 0.500 0.000
0.000 0.500 0.500
0.500 0.500 0.000
0.500 0.000 0.500
0.500 0.000 0.000
0.000 0.000 0.500
```

Values from the calculation:
E_tot, eV/cell: -84.045
Raw formation energy, eV per atom: -1.49
Space group: Imma

No. 10
DFT (PBE) results for Sm8AlCd2 after structural relaxation.

Structure (POSCAR):
```
Sm8AlCd2
1.0
5.146 0.000 -1.662
-1.331 7.504 -4.123
-0.039 -0.152 8.679
Sm Al Cd
8 1 2
Direct
0.410 0.558 0.820
0.590 0.442 0.180
0.931 0.280 0.861
0.321 0.050 0.643
0.679 0.950 0.357
0.868 0.820 0.736
0.132 0.180 0.264
0.069 0.720 0.139
0.500 0.000 0.000
0.228 0.616 0.456
0.772 0.384 0.544
```

Values from the calculation:
Excess energy over the best structure of this formula in the dataset, meV/atom: 0
D(E_F), states/eV/cell: 10.48
E_tot, eV/cell: -45.102
Space group: C2/m

No. 11
DFT (PBE) results for Pr2Dy4HoTm after structural relaxation.

Structure (POSCAR):
```
Pr2Dy4HoTm
1.0
-4.934 7.883 -2.036
2.610 -0.393 -9.147
-3.006 -8.915 7.187
Pr Tm Dy Ho
4 2 8 2
Direct
0.000 0.000 0.500
0.500 0.000 0.500
0.500 0.000 0.000
0.500 0.500 0.000
0.000 0.000 0.000
0.500 0.500 0.500
0.757 0.245 0.001
0.246 0.251 0.493
0.754 0.749 0.507
0.751 0.746 0.993
0.249 0.254 0.007
0.243 0.755 0.999
0.745 0.257 0.501
0.255 0.743 0.499
0.000 0.500 0.500
0.000 0.500 0.000
```

Values from the calculation:
D(E_F), states/eV/cell: 37.76
E_tot, eV/cell: -67.322
Space group: C2/c